TlCu3Te3 after structural relaxation. Source: Alexandria, functional PBE.

```
TlCu3Te3
1.0
7.293 0.000 0.000
0.000 7.293 0.000
0.000 0.000 7.293
Tl Cu Te
2 6 6
Direct
0.000 0.000 0.000 Tl
0.500 0.500 0.500 Tl
0.000 0.250 0.500 Cu
0.000 0.750 0.500 Cu
0.250 0.500 0.000 Cu
0.500 0.000 0.250 Cu
0.500 0.000 0.750 Cu
0.750 0.500 0.000 Cu
0.000 0.500 0.250 Te
0.000 0.500 0.750 Te
0.250 0.000 0.500 Te
0.500 0.250 0.000 Te
0.500 0.750 0.000 Te
0.750 0.000 0.500 Te
```

## Properties
* DOS at the Fermi energy: 9.7 states/eV/cell
* offset from the most stable computed form: 47 meV per atom
* volume: 388.0 Å³ per cell
* raw formation energy: -0.43 eV/f.u.
* theoretical density: 6.658 g cm⁻³
* energy: -3.50 eV/atom